# 1
A plane-wave DFT calculation with SCAN was carried out for a crystal of Na3TiPt relaxed with PBEsol.

Energy above the most stable polymorph in this dataset = 0.000 eV/atom
Crystal system = cubic
Energy of formation from the pure elements = 0.70 eV per atom
Symmetry = No. 221
DFT total energy = -19.078 eV/atom

abc: 5.312 5.312 5.312
angles: 90.00 90.00 90.00
Element x y z (fractional)
Na 0.000 0.500 0.000
Na 0.000 0.000 0.500
Na 0.500 0.000 0.000
Pt 0.000 0.000 0.000
Ti 0.500 0.500 0.500

***

# 2
A plane-wave DFT calculation with SCAN was carried out for a crystal of Al2RuRhF relaxed with PBEsol.

ΔE_f (raw) = 1.2 eV per formula unit
Crystal system = tetragonal
Symmetry = No. 123
DFT total energy = -17.285 eV/atom

abc: 4.478 4.742 4.742
angles: 90.00 90.00 90.00
Element x y z (fractional)
Ru 0.000 0.000 0.000
Rh 0.500 0.000 0.000
Al 0.000 0.000 0.500
Al 0.000 0.500 0.000
F 0.500 0.500 0.500

***

# 3
A plane-wave DFT calculation with SCAN was carried out for a crystal of Be3Ag relaxed with PBEsol.

Energy above the most stable polymorph in this dataset = 0.011 eV/atom
Crystal system = orthorhombic
Energy of formation from the pure elements = 0.09 eV per atom
Symmetry = No. 59
DFT total energy = -11.013 eV/atom

abc: 3.822 4.398 4.882
angles: 90.00 90.00 90.00
Element x y z (fractional)
Be 0.500 0.721 0.000
Be 0.000 0.279 0.500
Be 0.000 0.859 0.763
Be 0.000 0.859 0.237
Be 0.500 0.141 0.263
Be 0.500 0.141 0.737
Ag 0.000 0.362 0.000
Ag 0.500 0.638 0.500